## LuCuAgBi (PBE)

Data for LuCuAgBi after structural relaxation.

```
LuCuAgBi
1.0
0.0000 3.5048 3.5048
3.5048 0.0000 3.5048
3.5048 3.5048 0.0000
Lu Cu Ag Bi
1 1 1 1
Direct
0.0000 0.0000 0.0000 Lu
0.7500 0.7500 0.7500 Cu
0.2500 0.2500 0.2500 Ag
0.5000 0.5000 0.5000 Bi
```

Output
VASP energy = -3.9055 eV per atom
Magnetic moment = 0.0 μB/f.u.

---

## LuCuAgBi (PBE)

Data for LuCuAgBi after structural relaxation.

```
LuCuAgBi
1.0
0.0000 3.5072 3.5072
3.5072 0.0000 3.5072
3.5072 3.5072 0.0000
Lu Cu Ag Bi
1 1 1 1
Direct
0.0000 0.0000 0.0000 Lu
0.5000 0.5000 0.5000 Cu
0.2500 0.2500 0.2500 Ag
0.7500 0.7500 0.7500 Bi
```

Output
VASP energy = -3.8673 eV per atom
Magnetic moment = 0.0 μB/f.u.

---

## MgCuAgBi (PBE)

Data for MgCuAgBi after structural relaxation.

```
MgCuAgBi
1.0
0.0000 3.4302 3.4302
3.4302 0.0000 3.4302
3.4302 3.4302 0.0000
Mg Cu Ag Bi
1 1 1 1
Direct
0.0000 0.0000 0.0000 Mg
0.5000 0.5000 0.5000 Cu
0.7500 0.7500 0.7500 Ag
0.2500 0.2500 0.2500 Bi
```

Output
VASP energy = -2.9429 eV per atom

---

## Mg2CuAgBi2 (PBE)

Data for Mg2CuAgBi2 after structural relaxation.

```
Mg2CuAgBi2
1.0
8.0762 0.0000 0.0000
0.0000 4.6398 0.0000
-2.5932 0.0000 15.2229
Mg Cu Ag Bi
8 4 4 8
Direct
0.0000 0.0000 0.0000 Mg
0.0000 0.5000 0.4910 Mg
0.2439 0.0000 0.7409 Mg
0.2444 0.5000 0.2430 Mg
0.4890 0.0000 0.4878 Mg
0.4975 0.5000 0.9986 Mg
0.7464 0.0000 0.2416 Mg
0.7519 0.5000 0.7414 Mg
0.0602 0.5000 0.6776 Cu
0.0612 0.0000 0.1835 Cu
0.3053 0.5000 0.4271 Cu
0.5581 0.5000 0.1820 Cu
0.3072 0.0000 0.9333 Ag
0.5578 0.0000 0.6766 Ag
0.8097 0.0000 0.4288 Ag
0.8133 0.5000 0.9346 Ag
0.1194 0.5000 0.8598 Bi
0.1309 0.0000 0.3651 Bi
0.3573 0.5000 0.6098 Bi
0.3740 0.0000 0.1256 Bi
0.6075 0.5000 0.3635 Bi
0.6212 0.0000 0.8677 Bi
0.8749 0.5000 0.1270 Bi
0.8848 0.0000 0.6201 Bi
```

Output
VASP energy = -3.0832 eV per atom

---

## CuAgBiPt (PBE)

Data for CuAgBiPt after structural relaxation.

```
CuAgBiPt
1.0
0.0000 3.3352 3.3352
3.3352 0.0000 3.3352
3.3352 3.3352 0.0000
Cu Ag Bi Pt
1 1 1 1
Direct
0.0000 0.0000 0.0000 Cu
0.2500 0.2500 0.2500 Ag
0.7500 0.7500 0.7500 Bi
0.5000 0.5000 0.5000 Pt
```

Output
VASP energy = -4.1195 eV per atom
Magnetic moment = 0.0 μB/f.u.

---

## CuAgBiW (PBE)

Data for CuAgBiW after structural relaxation.

```
CuAgBiW
1.0
0.0000 3.3277 3.3277
3.3277 0.0000 3.3277
3.3277 3.3277 0.0000
Cu Ag Bi W
1 1 1 1
Direct
0.0000 0.0000 0.0000 Cu
0.2500 0.2500 0.2500 Ag
0.7500 0.7500 0.7500 Bi
0.5000 0.5000 0.5000 W
```

Output
VASP energy = -4.9925 eV per atom
Magnetic moment = 0.8 μB/f.u.

---

## YCuAgBi (PBE)

Data for YCuAgBi after structural relaxation.

```
YCuAgBi
1.0
0.0000 3.5392 3.5392
3.5392 0.0000 3.5392
3.5392 3.5392 0.0000
Y Cu Ag Bi
1 1 1 1
Direct
0.0000 0.0000 0.0000 Y
0.7500 0.7500 0.7500 Cu
0.2500 0.2500 0.2500 Ag
0.5000 0.5000 0.5000 Bi
```

Output
VASP energy = -4.4538 eV per atom
Magnetic moment = 0.0 μB/f.u.

---

## YCuAgBi (PBE)

Data for YCuAgBi after structural relaxation.

```
YCuAgBi
1.0
0.0000 3.5564 3.5564
3.5564 0.0000 3.5564
3.5564 3.5564 0.0000
Y Cu Ag Bi
1 1 1 1
Direct
0.0000 0.0000 0.0000 Y
0.5000 0.5000 0.5000 Cu
0.2500 0.2500 0.2500 Ag
0.7500 0.7500 0.7500 Bi
```

Output
VASP energy = -4.3922 eV per atom
Magnetic moment = 0.0 μB/f.u.

---

## GdDyAg2Bi4 (PBE)

Data for GdDyAg2Bi4 after structural relaxation.

```
GdDyAg2Bi4
1.0
4.5394 0.0000 0.0000
0.0000 4.5394 0.0000
0.0000 0.0000 10.2981
Gd Dy Ag Bi
1 1 2 4
Direct
0.0000 0.0000 0.0000 Gd
0.5000 0.5000 0.4960 Dy
0.0000 0.5000 0.7469 Ag
0.5000 0.0000 0.7469 Ag
0.0000 0.0000 0.5569 Bi
0.0000 0.5000 0.2488 Bi
0.5000 0.0000 0.2488 Bi
0.5000 0.5000 0.9375 Bi
```

Output
VASP energy = -4.3519 eV per atom
Magnetic moment = 0.0 μB/f.u.

---

## DyHoAg2Bi4 (PBE)

Data for DyHoAg2Bi4 after structural relaxation.

```
DyHoAg2Bi4
1.0
4.5227 0.0000 0.0000
0.0000 4.5227 0.0000
0.0000 0.0000 10.2584
Dy Ho Ag Bi
1 1 2 4
Direct
0.0000 0.0000 0.0000 Dy
0.5000 0.5000 0.4962 Ho
0.0000 0.5000 0.7477 Ag
0.5000 0.0000 0.7477 Ag
0.0000 0.0000 0.5567 Bi
0.0000 0.5000 0.2485 Bi
0.5000 0.0000 0.2485 Bi
0.5000 0.5000 0.9390 Bi
```

Output
VASP energy = -4.3158 eV per atom
Magnetic moment = 0.0 μB/f.u.

---

## LaDyAg2Bi4 (PBE)

Data for LaDyAg2Bi4 after structural relaxation.

```
LaDyAg2Bi4
1.0
4.5845 0.0000 0.0000
0.0000 4.5845 0.0000
0.0000 0.0000 10.4459
La Dy Ag Bi
1 1 2 4
Direct
0.0000 0.0000 0.0000 La
0.5000 0.5000 0.4980 Dy
0.0000 0.5000 0.7420 Ag
0.5000 0.0000 0.7420 Ag
0.0000 0.0000 0.5588 Bi
0.0000 0.5000 0.2546 Bi
0.5000 0.0000 0.2546 Bi
0.5000 0.5000 0.9291 Bi
```

Output
VASP energy = -4.4450 eV per atom
Magnetic moment = 0.0 μB/f.u.

---

## SmDyAg2Bi4 (PBE)

Data for SmDyAg2Bi4 after structural relaxation.

```
SmDyAg2Bi4
1.0
4.5523 0.0000 0.0000
0.0000 4.5523 0.0000
0.0000 0.0000 10.3485
Sm Dy Ag Bi
1 1 2 4
Direct
0.0000 0.0000 0.0000 Sm
0.5000 0.5000 0.4962 Dy
0.0000 0.5000 0.7422 Ag
0.5000 0.0000 0.7422 Ag
0.0000 0.0000 0.5555 Bi
0.0000 0.5000 0.2512 Bi
0.5000 0.0000 0.2512 Bi
0.5000 0.5000 0.9313 Bi
```

Output
VASP energy = -4.3734 eV per atom
Magnetic moment = 0.0 μB/f.u.